Run 1
Entry from the Alexandria database: an optimized crystal structure of ReTcIr2 (GGA-PBE).

Computed properties:
Its density of states at the Fermi level is 0.991 states/eV per atom. For the volume, the calculation gives 14.60 A^3/atom. Its magnetization is 0.00 μB/cell. Its space-group type is Cm.

Geometry as extended XYZ:
```
4
Lattice="4.539 -1.362 0.000 4.539 1.362 0.000 -0.803 0.000 4.723" Properties=species:S:1:pos:R:3 pbc="T T T"
Re 0.000 0.000 0.000
Tc 1.671 0.000 3.491
Ir 4.152 0.000 2.383
Ir 6.587 0.000 1.105
```

---

Run 2
Entry from the Alexandria database: an optimized crystal structure of ReTcIr2 (GGA-PBE).

Computed properties:
Its density of states at the Fermi level is 2.313 states/eV per atom. For the volume, the calculation gives 15.06 A^3/atom. Its magnetization is 0.00 μB/cell. Its space-group type is Fm-3m.

Geometry as extended XYZ:
```
4
Lattice="0.000 3.111 3.111 3.111 0.000 3.111 3.111 3.111 0.000" Properties=species:S:1:pos:R:3 pbc="T T T"
Re 0.000 0.000 0.000
Tc 3.111 3.111 3.111
Ir 1.556 1.556 1.556
Ir 4.667 4.667 4.667
```

---

Run 3
Entry from the Alexandria database: an optimized crystal structure of ReTcIr2 (GGA-PBE).

Computed properties:
Its density of states at the Fermi level is 0.798 states/eV per atom. For the volume, the calculation gives 14.94 A^3/atom. Its magnetization is 0.00 μB/cell. Its space-group type is F-43m.

Geometry as extended XYZ:
```
4
Lattice="0.000 3.103 3.103 3.103 0.000 3.103 3.103 3.103 0.000" Properties=species:S:1:pos:R:3 pbc="T T T"
Re 0.000 0.000 0.000
Tc 1.552 1.552 1.552
Ir 3.103 3.103 3.103
Ir 4.655 4.655 4.655
```

---

Run 4
Entry from the Alexandria database: an optimized crystal structure of ReTcIr2 (GGA-PBE).

Computed properties:
Its density of states at the Fermi level is 1.012 states/eV per atom. For the volume, the calculation gives 14.55 A^3/atom. Its magnetization is 0.00 μB/cell. Its space-group type is P4/mmm.

Geometry as extended XYZ:
```
4
Lattice="3.855 0.000 0.000 0.000 3.855 0.000 0.000 0.000 3.917" Properties=species:S:1:pos:R:3 pbc="T T T"
Re 0.000 0.000 0.000
Tc 1.927 1.927 0.000
Ir 0.000 1.927 1.958
Ir 1.927 0.000 1.958
```

---

Which is most stable, and by how much? run 4, by 3.5 kJ/mol of atoms.

---

Run 1
Entry from the Alexandria database: an optimized crystal structure of ReTcIr2 (GGA-PBE).

Computed properties:
Its density of states at the Fermi level is 1.053 states/eV per atom. For the volume, the calculation gives 14.55 A^3/atom. Its magnetization is 0.00 μB/cell. Its space-group type is I4/mmm.

Geometry as extended XYZ:
```
4
Lattice="-1.929 1.929 3.910 1.929 -1.929 3.910 1.929 1.929 -3.910" Properties=species:S:1:pos:R:3 pbc="T T T"
Re 0.000 0.000 0.000
Tc 0.000 0.000 3.910
Ir 1.929 0.000 1.955
Ir 0.000 1.929 1.955
```

---

Run 2
Entry from the Alexandria database: an optimized crystal structure of ReTcIr2 (GGA-PBE).

Computed properties:
Its density of states at the Fermi level is 0.581 states/eV per atom. For the volume, the calculation gives 14.49 A^3/atom. Its magnetization is 0.00 μB/cell. Its space-group type is Pmmn.

Geometry as extended XYZ:
```
8
Lattice="4.389 0.000 0.000 0.000 5.475 0.000 0.000 0.000 4.825" Properties=species:S:1:pos:R:3 pbc="T T T"
Re 1.097 1.369 0.789
Re 3.291 4.106 4.035
Tc 1.097 4.106 0.782
Tc 3.291 1.369 4.043
Ir 1.097 0.003 3.222
Ir 1.097 2.735 3.222
Ir 3.291 2.740 1.603
Ir 3.291 5.472 1.603
```

---

Run 3
Entry from the Alexandria database: an optimized crystal structure of ReTcIr2 (GGA-PBE).

Computed properties:
Its density of states at the Fermi level is 0.996 states/eV per atom. For the volume, the calculation gives 14.58 A^3/atom. Its magnetization is 0.00 μB/cell. Its space-group type is C2/m.

Geometry as extended XYZ:
```
4
Lattice="4.577 -1.367 0.000 4.577 1.367 0.000 -0.807 0.000 4.660" Properties=species:S:1:pos:R:3 pbc="T T T"
Re 0.000 0.000 0.000
Tc 4.174 0.000 2.330
Ir 1.689 0.000 3.497
Ir 6.658 0.000 1.163
```

---

Run 4
Entry from the Alexandria database: an optimized crystal structure of ReTcIr2 (GGA-PBE).

Computed properties:
Its density of states at the Fermi level is 1.141 states/eV per atom. For the volume, the calculation gives 14.56 A^3/atom. Its magnetization is 0.00 μB/cell. Its space-group type is Pmmm.

Geometry as extended XYZ:
```
4
Lattice="2.729 0.000 0.000 0.000 3.917 0.000 0.000 0.000 5.448" Properties=species:S:1:pos:R:3 pbc="T T T"
Re 0.000 0.000 0.000
Tc 0.000 0.000 2.724
Ir 1.365 1.958 1.363
Ir 1.365 1.958 4.085
```

---

Which is most stable, and by how much? run 2, by 12.0 kJ/mol of atoms.